# 1
SrCdGe | the Alexandria database | PBE-GGA | optimized geometry; calculated volume = 28.39 Å³ per atom
1.0
-0.906 -3.442 -3.009
0.008 -3.025 3.457
-3.906 2.090 -1.214
Sr Ge Cd
1 1 1
direct
0.667 0.667 0.333 Sr
0.164 0.000 0.000 Ge
0.168 0.333 0.667 Cd

# 2
Sr2Cd3Ge2 | the Alexandria database | PBE-GGA | optimized geometry; calculated volume = 27.87 Å³ per atom
1.0
-1.742 2.570 -3.309
-3.401 -2.116 0.146
-2.208 7.844 7.255
Cd Sr Ge
3 2 2
direct
0.500 0.432 0.864 Cd
0.000 0.000 0.000 Cd
0.500 0.568 0.136 Cd
0.000 0.835 0.669 Sr
0.000 0.165 0.331 Sr
0.500 0.714 0.427 Ge
0.500 0.286 0.573 Ge

| no. | energy relative to the elements (kJ/mol of formula units) | calculated density (g cm⁻³) | total moment (μB/f.u.) |
| --- | --- | --- | --- |
| 1 | -124 | 5.3 | 0.0 |
| 2 | -218 | 5.6 | 0.0 |